Computed, not measured: a relaxed ScCuI2O crystal at the GGA-PBE level of DFT.

Unit cell a=5.8731 b=5.8731 c=3.8699 alpha=90.00 beta=90.00 gamma=90.00
Closest atoms and distances in Å follow each position.
Space group P4/mmm (No. 123)
One atom of each set of equivalent atoms:
Sc (0.0000, 0.0000, 0.0000) [1 per cell]  2 O 1.93
Cu (0.5000, 0.5000, 0.5000) [1 per cell]  8 I 3.52, 2 Cu 3.87
I (0.0000, 0.5000, 0.0000) [2 per cell]  2 Sc 2.94
O (0.0000, 0.0000, 0.5000) [1 per cell]  2 Sc 1.93

Calculated values
**Size of the total moment**: 0.000 μB/atom
**Offset from the most stable computed form**: 0 kJ/mol of formula units
**Formation energy from raw total energies**: -886 meV/atom
**Density**: 4.71 Mg/m³